# 1
BeSiMo: relaxed, GGA-PBE.

Geometry as POSCAR:
```
BeSiMo
1.0
-1.300 1.300 5.729
1.300 -1.300 5.729
1.300 1.300 -5.729
Be Si Mo
1 1 1
direct
0.000 0.000 0.000 Be
0.344 0.344 0.000 Si
0.662 0.662 0.000 Mo
```

Results
Magnetization, μB/f.u.: 0.0
Space-group type: I4mm, No. 107
Uncorrected formation energy, eV/atom: 0.2669
Raw total energy, eV/atom: -6.39

=====

# 2
Ba2CeMg2Sb4: relaxed, GGA-PBE.

Geometry as POSCAR:
```
Ba2CeMg2Sb4
1.0
8.425 -2.351 0.000
8.425 2.351 0.000
-2.679 0.000 7.651
Ba Ce Mg Sb
2 1 2 4
direct
0.133 0.133 0.074 Ba
0.867 0.867 0.926 Ba
0.000 0.000 0.500 Ce
0.326 0.326 0.510 Mg
0.674 0.674 0.490 Mg
0.204 0.204 0.702 Sb
0.493 0.493 0.757 Sb
0.507 0.507 0.243 Sb
0.796 0.796 0.298 Sb
```

Results
Magnetization, μB/f.u.: 0.3
Space-group type: C2/m, No. 12
Uncorrected formation energy, eV/atom: -0.8792
Raw total energy, eV/atom: -4.15

=====

# 3
ErMgScBe: relaxed, GGA-PBE.

Geometry as POSCAR:
```
ErMgScBe
1.0
0.000 3.477 3.477
3.477 0.000 3.477
3.477 3.477 0.000
Er Mg Sc Be
1 1 1 1
direct
0.000 0.000 0.000 Er
0.250 0.250 0.250 Mg
0.500 0.500 0.500 Sc
0.750 0.750 0.750 Be
```

Results
Formation energy from the elements, eV per atom: 0.08
Magnetization, μB/f.u.: 0.0
Space-group type: F-43m, No. 216
Raw total energy, eV/atom: -3.97